DFT (SCAN) results for a PBEsol-optimized structure of NaHfTiRe2.

The structure belongs to space group P4/mmm (No. 123); the cell edges are 4.5961, 4.5961 and 4.2667 Å and the angles 90.00°, 90.00° and 90.00°. The inequivalent atoms are Na at (0.0000, 0.0000, 0.0000), Hf at (0.0000, 0.0000, 0.5000), Ti at (0.5000, 0.5000, 0.5000) and Re at (0.0000, 0.5000, 0.0000).

For the formation energy, the calculation gives 2.311 eV/atom. The calculation puts the energy at -213.6 eV for the cell shown.